Record 1
Density functional theory data (PBE+U) for a relaxed structure of KCe2MoO8.

a = 5.0114 Å, b = 4.6869 Å, c = 7.5421 Å
α = 84.44°, β = 88.33°, γ = 90.86°
Last column: magnetic moment on the atom in μB.
Positions (direct):
O 0.6941 0.7379 0.9731  0.00
O 0.3059 0.2621 0.0269  0.00
O 0.1215 0.7345 0.1956  0.00
O 0.7965 0.1776 0.1769  0.00
O 0.5224 0.7391 0.5008  0.09
O 0.2035 0.8224 0.8231  0.00
O 0.8785 0.2655 0.8044  0.00
O 0.4776 0.2609 0.4992  0.09
Ce 0.5221 0.5324 0.2364  0.01
Ce 0.4779 0.4676 0.7636  0.01
K 0.0000 0.0000 0.5000  0.00
Mo 0.0000 0.0000 0.0000  0.00

Summary:
E_tot: -7.243 eV/atom
Volume: 14.68 A^3/atom
Crystal system: triclinic

---

Record 2
Density functional theory data (PBE+U) for a relaxed structure of K2CeMoO6.

a = 4.3916 Å, b = 5.9316 Å, c = 5.9316 Å
α = 90.00°, β = 90.00°, γ = 90.00°
Positions (direct):
O 0.6606 0.7739 0.2261
O 0.6606 0.2261 0.7739
O 0.1781 0.0000 0.0000
O 0.6606 0.7739 0.7739
O 0.6606 0.2261 0.2261
O 0.1522 0.5000 0.5000
Ce 0.6487 0.5000 0.5000
K 0.1209 0.5000 0.0000
K 0.1209 0.0000 0.5000
Mo 0.5836 0.0000 0.0000

Summary:
E_tot: -6.760 eV/atom
Volume: 15.45 A^3/atom
Crystal system: tetragonal

---

- Which of these has the lowest volume?
  KCe2MoO8